! IrPbSe2 meta-GGA SCAN single point on PBEsol structure; values from VASP
&SYSTEM
  ibrav = 0, nat = 4, ntyp = 3
/
ATOMIC_SPECIES
Ir 192.22 Ir.upf
Pb 207.20 Pb.upf
Se 78.96 Se.upf
CELL_PARAMETERS angstrom
3.244 0.000 0.000
0.000 4.751 0.000
0.000 0.000 5.024
ATOMIC_POSITIONS crystal
Ir 0.000 0.000 0.000
Pb 0.500 0.000 0.500
Se 0.000 0.500 0.500
Se 0.500 0.500 0.000
! Crystal system: orthorhombic
! Energy relative to the elements, uncorrected in meV per atom: 744
! Space group: Pmmm
! Total magnetic moment in μB per cell: 0.0
! Electronic total energy in eV/f.u.: -184.06

! Si2IrPb meta-GGA SCAN single point on PBEsol structure; values from VASP
&SYSTEM
  ibrav = 0, nat = 8, ntyp = 3
/
ATOMIC_SPECIES
Si 28.09 Si.upf
Ir 192.22 Ir.upf
Pb 207.20 Pb.upf
CELL_PARAMETERS angstrom
-2.400 2.400 7.412
2.400 -2.400 7.412
2.400 2.400 -7.412
ATOMIC_POSITIONS crystal
Si 0.004 0.625 0.879
Si 0.375 0.254 0.379
Si 0.746 0.125 0.121
Si 0.875 0.996 0.621
Ir 0.000 0.000 0.000
Ir 0.750 0.250 0.500
Pb 0.250 0.750 0.500
Pb 0.500 0.500 0.000
! Crystal system: tetragonal
! Energy relative to the elements, uncorrected in meV per atom: 123
! Space group: I-42d
! Total magnetic moment in μB per cell: 0.0
! Electronic total energy in eV/f.u.: -166.42

! SiIr4Pb meta-GGA SCAN single point on PBEsol structure; values from VASP
&SYSTEM
  ibrav = 0, nat = 6, ntyp = 3
/
ATOMIC_SPECIES
Si 28.09 Si.upf
Ir 192.22 Ir.upf
Pb 207.20 Pb.upf
CELL_PARAMETERS angstrom
0.000 3.703 3.703
3.703 0.000 3.703
3.703 3.703 0.000
ATOMIC_POSITIONS crystal
Si 0.000 0.000 0.000
Ir 0.375 0.375 0.375
Ir 0.375 0.375 0.876
Ir 0.375 0.876 0.375
Ir 0.876 0.375 0.375
Pb 0.750 0.750 0.750
! Crystal system: cubic
! Energy relative to the elements, uncorrected in meV per atom: 679
! Space group: F-43m
! Total magnetic moment in μB per cell: 0.0
! Electronic total energy in eV/f.u.: -366.12

! Sn3IrPb meta-GGA SCAN single point on PBEsol structure; values from VASP
&SYSTEM
  ibrav = 0, nat = 5, ntyp = 3
/
ATOMIC_SPECIES
Sn 118.71 Sn.upf
Ir 192.22 Ir.upf
Pb 207.20 Pb.upf
CELL_PARAMETERS angstrom
5.490 0.000 0.000
0.000 5.490 0.000
0.000 0.000 5.490
ATOMIC_POSITIONS crystal
Sn 0.000 0.000 0.500
Sn 0.000 0.500 0.000
Sn 0.500 0.000 0.000
Ir 0.500 0.500 0.500
Pb 0.000 0.000 0.000
! Crystal system: cubic
! Space group: Pm-3m
! Total magnetic moment in μB per cell: 0.0
! Calculated formation energy in eV/f.u.: 9.179
! Electronic total energy in eV/f.u.: -245.46